The following is a PBE-GGA calculation of Nb2TcNiHg after structural relaxation, from the Alexandria database.

POSCAR file:
```
Nb2TcNiHg
1.0
4.6075 0.0000 0.0000
0.0000 4.6075 0.0000
0.0000 0.0000 4.5065
Nb Tc Ni Hg
2 1 1 1
Cartesian
0.0000 2.3037 0.0000
2.3037 0.0000 0.0000
0.0000 0.0000 2.2533
0.0000 0.0000 0.0000
2.3037 2.3037 2.2533
```

## Properties
**Final energy**: -6.4264 eV per atom
**DOS at the Fermi energy**: 6.83 states/eV/cell
**Spin magnetization**: 0.0000 μB per atom
**Energy of formation**: 0.891 eV per atom